[1]
## Sr2MgTiTc (PBE)

Data for a geometry-optimized Sr2MgTiTc structure.

a = 6.2444 Å, b = 6.2444 Å, c = 4.3663 Å
α = 90.00°, β = 90.00°, γ = 90.00°
Fractional positions:
Sr (0.0000, 0.5000, 0.0000)
Sr (0.5000, 0.0000, 0.0000)
Mg (0.0000, 0.0000, 0.5000)
Ti (0.5000, 0.5000, 0.0000)
Tc (0.5000, 0.5000, 0.5000)

Results
**Crystal system**: tetragonal
**SG**: P4/mmm
**ΔH_f (0 K)**: 722 meV per atom
**DFT total energy**: -0.144 Ha/atom



[2]
## Ti2Si2Te (PBE)

Data for a geometry-optimized Ti2Si2Te structure.

a = 7.1694 Å, b = 7.1694 Å, c = 3.4656 Å
α = 90.00°, β = 90.00°, γ = 90.00°
Fractional positions:
Ti (0.1654, 0.3346, 0.0000)
Ti (0.3346, 0.8346, 0.0000)
Ti (0.6654, 0.1654, 0.0000)
Ti (0.8346, 0.6654, 0.0000)
Si (0.1207, 0.6207, 0.5000)
Si (0.3793, 0.1207, 0.5000)
Si (0.6207, 0.8793, 0.5000)
Si (0.8793, 0.3793, 0.5000)
Te (0.0000, 0.0000, 0.0000)
Te (0.5000, 0.5000, 0.0000)

Results
**Excess energy over the best structure of this formula in the dataset**: 214 meV/atom
**Crystal system**: tetragonal
**SG**: P4/mbm
**DFT total energy**: -0.230 Ha/atom
**Raw formation energy**: -0.3123 eV per atom



[3]
## NdNiAs3 (PBE)

Data for a geometry-optimized NdNiAs3 structure.

a = 12.2466 Å, b = 5.6597 Å, c = 5.6554 Å
α = 90.00°, β = 90.00°, γ = 90.00°
Fractional positions:
Nd (0.1937, 0.9998, 0.2500)
Nd (0.1937, 0.5002, 0.7500)
Nd (0.8063, 0.0002, 0.7500)
Nd (0.8063, 0.4998, 0.2500)
Ni (0.4135, 0.2500, 0.0000)
Ni (0.4135, 0.2500, 0.5000)
Ni (0.5865, 0.7500, 0.0000)
Ni (0.5865, 0.7500, 0.5000)
As (0.0015, 0.2500, 0.0000)
As (0.0015, 0.2500, 0.5000)
As (0.2913, 0.5044, 0.2500)
As (0.2913, 0.9956, 0.7500)
As (0.4418, 0.6137, 0.7500)
As (0.4418, 0.8863, 0.2500)
As (0.5582, 0.1137, 0.7500)
As (0.5582, 0.3863, 0.2500)
As (0.7087, 0.0044, 0.2500)
As (0.7087, 0.4956, 0.7500)
As (0.9985, 0.7500, 0.0000)
As (0.9985, 0.7500, 0.5000)

Results
**Crystal system**: orthorhombic
**SG**: Pbcm
**ΔH_f (0 K)**: -674 meV per atom
**DFT total energy**: -0.205 Ha/atom



[4]
## LiCaGaFe2 (PBE)

Data for a geometry-optimized LiCaGaFe2 structure.

a = 4.5766 Å, b = 4.5766 Å, c = 5.3546 Å
α = 90.00°, β = 90.00°, γ = 90.00°
Fractional positions:
Li (0.0000, 0.0000, 0.0000)
Ca (0.5000, 0.5000, 0.5000)
Ga (0.5000, 0.5000, 0.0000)
Fe (0.0000, 0.5000, 0.5000)
Fe (0.5000, 0.0000, 0.5000)

Results
**Crystal system**: tetragonal
**SG**: P4/mmm
**ΔH_f (0 K)**: 1776 meV per atom
**DFT total energy**: -0.110 Ha/atom



[5]
## NaZn2I (PBE)

Data for a geometry-optimized NaZn2I structure.

a = 8.0039 Å, b = 8.0039 Å, c = 8.0039 Å
α = 90.00°, β = 90.00°, γ = 90.00°
Fractional positions:
Na (0.0000, 0.0000, 0.0000)
Na (0.0000, 0.5000, 0.5000)
Na (0.5000, 0.0000, 0.5000)
Na (0.5000, 0.5000, 0.0000)
Zn (0.2500, 0.2500, 0.2500)
Zn (0.2500, 0.2500, 0.7500)
Zn (0.2500, 0.7500, 0.2500)
Zn (0.2500, 0.7500, 0.7500)
Zn (0.7500, 0.2500, 0.2500)
Zn (0.7500, 0.2500, 0.7500)
Zn (0.7500, 0.7500, 0.2500)
Zn (0.7500, 0.7500, 0.7500)
I (0.0000, 0.0000, 0.5000)
I (0.0000, 0.5000, 0.0000)
I (0.5000, 0.0000, 0.0000)
I (0.5000, 0.5000, 0.5000)

Results
**Excess energy over the best structure of this formula in the dataset**: 195 meV/atom
**Crystal system**: cubic
**SG**: Fm-3m
**DFT total energy**: -0.046 Ha/atom
**Raw formation energy**: 0.0925 eV per atom



[6]
## KMnNi (PBE)

Data for a geometry-optimized KMnNi structure.

a = 4.0793 Å, b = 4.0793 Å, c = 5.4162 Å
α = 90.00°, β = 90.00°, γ = 120.00°
Fractional positions:
K (0.0000, 0.0000, 0.0000)
Mn (0.3333, 0.6667, 0.5000)
Ni (0.6667, 0.3333, 0.5000)

Results
**Excess energy over the best structure of this formula in the dataset**: 381 meV/atom
**Crystal system**: hexagonal
**SG**: P-6m2
**ΔH_f (0 K)**: 743 meV per atom
**DFT total energy**: -0.169 Ha/atom



[7]
## Ce2ScHgC (PBE)

Data for a geometry-optimized Ce2ScHgC structure.

a = 4.9685 Å, b = 4.9685 Å, c = 4.6111 Å
α = 90.00°, β = 90.00°, γ = 90.00°
Fractional positions:
Ce (0.0000, 0.5000, 0.0000)
Ce (0.5000, 0.0000, 0.0000)
Sc (0.0000, 0.0000, 0.5000)
Hg (0.5000, 0.5000, 0.5000)
C (0.0000, 0.0000, 0.0000)

Results
**Crystal system**: tetragonal
**SG**: P4/mmm
**ΔH_f (0 K)**: -298 meV per atom
**DFT total energy**: -0.215 Ha/atom



[8]
## Tb6HoEr6 (PBE)

Data for a geometry-optimized Tb6HoEr6 structure.

a = 6.6148 Å, b = 6.6148 Å, c = 11.2602 Å
α = 90.00°, β = 90.00°, γ = 120.00°
Fractional positions:
Tb (0.0000, 0.0000, 0.1559)
Tb (0.0000, 0.0000, 0.8441)
Tb (0.3333, 0.6667, 0.0000)
Tb (0.3333, 0.6667, 0.5000)
Tb (0.6667, 0.3333, 0.0000)
Tb (0.6667, 0.3333, 0.5000)
Ho (0.0000, 0.0000, 0.5000)
Er (0.0000, 0.5000, 0.2564)
Er (0.0000, 0.5000, 0.7436)
Er (0.5000, 0.0000, 0.2564)
Er (0.5000, 0.0000, 0.7436)
Er (0.5000, 0.5000, 0.2564)
Er (0.5000, 0.5000, 0.7436)

Results
**Crystal system**: hexagonal
**SG**: P6/mmm
**ΔH_f (0 K)**: 286 meV per atom
**DFT total energy**: -0.158 Ha/atom



[9]
## LaCoMo (PBE)

Data for a geometry-optimized LaCoMo structure.

a = 6.2635 Å, b = 6.2635 Å, c = 6.2635 Å
α = 90.00°, β = 90.00°, γ = 90.00°
Fractional positions:
La (0.0000, 0.0000, 0.0000)
La (0.0000, 0.5000, 0.5000)
La (0.5000, 0.0000, 0.5000)
La (0.5000, 0.5000, 0.0000)
Co (0.2500, 0.2500, 0.7500)
Co (0.2500, 0.7500, 0.2500)
Co (0.7500, 0.2500, 0.2500)
Co (0.7500, 0.7500, 0.7500)
Mo (0.2500, 0.2500, 0.2500)
Mo (0.2500, 0.7500, 0.7500)
Mo (0.7500, 0.2500, 0.7500)
Mo (0.7500, 0.7500, 0.2500)

Results
**Excess energy over the best structure of this formula in the dataset**: 1335 meV/atom
**Crystal system**: cubic
**SG**: F-43m
**ΔH_f (0 K)**: 1422 meV per atom
**DFT total energy**: -0.228 Ha/atom



[10]
## KPm2Y (PBE)

Data for a geometry-optimized KPm2Y structure.

a = 3.6519 Å, b = 3.6519 Å, c = 40.2113 Å
α = 90.00°, β = 90.00°, γ = 120.00°
Fractional positions:
K (0.0000, 0.0000, 0.0000)
K (0.3333, 0.6667, 0.6667)
K (0.6667, 0.3333, 0.3333)
Pm (0.0000, 0.0000, 0.0955)
Pm (0.0000, 0.0000, 0.9045)
Pm (0.3333, 0.6667, 0.5712)
Pm (0.3333, 0.6667, 0.7622)
Pm (0.6667, 0.3333, 0.2378)
Pm (0.6667, 0.3333, 0.4288)
Y (0.0000, 0.0000, 0.5000)
Y (0.3333, 0.6667, 0.1667)
Y (0.6667, 0.3333, 0.8333)

Results
**Crystal system**: trigonal
**SG**: R-3m
**ΔH_f (0 K)**: 199 meV per atom
**DFT total energy**: -0.149 Ha/atom



[11]
## SrTlCl (PBE)

Data for a geometry-optimized SrTlCl structure.

a = 7.4394 Å, b = 7.4394 Å, c = 7.4394 Å
α = 90.00°, β = 90.00°, γ = 90.00°
Fractional positions:
Sr (0.0000, 0.0000, 0.0000)
Sr (0.0000, 0.5000, 0.5000)
Sr (0.5000, 0.0000, 0.5000)
Sr (0.5000, 0.5000, 0.0000)
Tl (0.0000, 0.0000, 0.5000)
Tl (0.0000, 0.5000, 0.0000)
Tl (0.5000, 0.0000, 0.0000)
Tl (0.5000, 0.5000, 0.5000)
Cl (0.2500, 0.2500, 0.7500)
Cl (0.2500, 0.7500, 0.2500)
Cl (0.7500, 0.2500, 0.2500)
Cl (0.7500, 0.7500, 0.7500)

Results
**Excess energy over the best structure of this formula in the dataset**: 501 meV/atom
**Crystal system**: cubic
**SG**: F-43m
**DFT total energy**: -0.102 Ha/atom
**Raw formation energy**: -0.7988 eV per atom



[12]
## CaCe2Pm (PBE)

Data for a geometry-optimized CaCe2Pm structure.

a = 3.4588 Å, b = 3.4588 Å, c = 38.1863 Å
α = 90.00°, β = 90.00°, γ = 120.00°
Fractional positions:
Ca (0.0000, 0.0000, 0.0000)
Ca (0.3333, 0.6667, 0.6667)
Ca (0.6667, 0.3333, 0.3333)
Ce (0.0000, 0.0000, 0.0887)
Ce (0.0000, 0.0000, 0.9113)
Ce (0.3333, 0.6667, 0.5780)
Ce (0.3333, 0.6667, 0.7553)
Ce (0.6667, 0.3333, 0.2447)
Ce (0.6667, 0.3333, 0.4220)
Pm (0.0000, 0.0000, 0.5000)
Pm (0.3333, 0.6667, 0.1667)
Pm (0.6667, 0.3333, 0.8333)

Results
**Crystal system**: trigonal
**SG**: R-3m
**ΔH_f (0 K)**: 254 meV per atom
**DFT total energy**: -0.162 Ha/atom